Below is a relaxed Pm5Pr2Nd crystal, with properties calculated at the PBE level.

Computed properties:
density = 6.799 g/cm3
relative energy among the computed polymorphs = 136 meV per atom
DOS(E_F) = 1.56 states/eV per atom
size of the total moment = 0.0 μB/cell

a b c (Å): 10.226 6.633 11.104
angles (deg): 118.69 117.42 90.00
Atoms (fractional coordinates):
Pm 0.492 0.456 0.806
Pm 0.938 0.750 0.000
Pm 0.062 0.250 0.000
Pm 0.885 0.620 0.597
Pm 0.115 0.380 0.403
Pm 0.711 0.120 0.597
Pm 0.289 0.880 0.403
Pm 0.508 0.544 0.194
Pm 0.314 0.956 0.806
Pm 0.686 0.044 0.194
Pr 0.176 0.468 0.840
Pr 0.665 0.968 0.840
Pr 0.824 0.532 0.160
Pr 0.335 0.032 0.160
Nd 0.000 0.000 0.500
Nd 0.500 0.500 0.500

---

Below is a relaxed CdTe crystal, with properties calculated at the PBE level.

Computed properties:
density = 7.025 g/cm3
uncorrected formation energy = 0.083 eV per atom
DOS(E_F) = 0.41 states/eV per atom
size of the total moment = 0.0 μB/cell

a b c (Å): 3.248 3.248 10.753
angles (deg): 90.00 90.00 90.00
Atoms (fractional coordinates):
Te 0.250 0.250 0.672
Te 0.750 0.750 0.328
Cd 0.250 0.250 0.099
Cd 0.750 0.750 0.901

---

Below is a relaxed KCuOs crystal, with properties calculated at the PBE level.

Computed properties:
density = 9.226 g/cm3
relative energy among the computed polymorphs = 160 meV per atom
DOS(E_F) = 0.71 states/eV per atom
size of the total moment = 0.0 μB/cell

a b c (Å): 2.771 2.771 7.926
angles (deg): 90.00 90.00 120.00
Atoms (fractional coordinates):
Cu 0.000 0.000 0.965
K 0.333 0.667 0.336
Os 0.667 0.333 0.699

---

Below is a relaxed K2LiCd2 crystal, with properties calculated at the PBE level.

Computed properties:
density = 2.675 g/cm3
relative energy among the computed polymorphs = 114 meV per atom
DOS(E_F) = 0.38 states/eV per atom
size of the total moment = 0.0 μB/cell

a b c (Å): 10.325 10.325 3.611
angles (deg): 90.00 90.00 90.00
Atoms (fractional coordinates):
K 0.312 0.812 0.000
K 0.812 0.688 0.000
K 0.688 0.188 0.000
K 0.188 0.312 0.000
Li 0.000 0.000 0.000
Li 0.500 0.500 0.000
Cd 0.103 0.603 0.500
Cd 0.603 0.897 0.500
Cd 0.897 0.397 0.500
Cd 0.397 0.103 0.500

---

Below is a relaxed Y2TcB crystal, with properties calculated at the PBE level.

Computed properties:
density = 5.057 g/cm3
total DFT energy (no corrections) = -7.408 eV per atom
DOS(E_F) = 0.64 states/eV per atom
size of the total moment = 0.0 μB/cell

a b c (Å): 9.680 9.680 7.133
angles (deg): 47.27 47.27 90.00
Atoms (fractional coordinates):
Y 0.456 0.125 0.250
Y 0.294 0.625 0.250
Y 0.375 0.544 0.750
Y 0.875 0.706 0.750
B 0.500 0.500 0.000
B 0.250 0.750 0.500
Tc 0.000 0.000 0.000
Tc 0.750 0.250 0.500

---

Below is a relaxed Cd2GaAu2 crystal, with properties calculated at the PBE level.

Computed properties:
density = 10.355 g/cm3
relative energy among the computed polymorphs = 175 meV per atom
DOS(E_F) = 0.50 states/eV per atom
size of the total moment = 0.0 μB/cell

a b c (Å): 3.935 3.935 7.653
angles (deg): 75.10 75.10 90.00
Atoms (fractional coordinates):
Au 0.750 0.250 0.500
Au 0.250 0.750 0.500
Ga 0.000 0.000 0.000
Cd 0.401 0.401 0.199
Cd 0.599 0.599 0.801

---

Below is a relaxed PaTcCl crystal, with properties calculated at the PBE level.

Computed properties:
density = 8.023 g/cm3
uncorrected formation energy = -0.584 eV per atom
DOS(E_F) = 0.82 states/eV per atom
size of the total moment = 0.0 μB/cell

a b c (Å): 3.849 3.849 11.967
angles (deg): 80.75 80.75 60.00
Atoms (fractional coordinates):
Pa 0.269 0.269 0.192
Pa 0.731 0.731 0.808
Tc 0.360 0.360 0.920
Tc 0.640 0.640 0.080
Cl 0.884 0.884 0.349
Cl 0.116 0.116 0.651

---

Below is a relaxed SiCl crystal, with properties calculated at the PBE level.

Computed properties:
density = 2.753 g/cm3
relative energy among the computed polymorphs = 1012 meV per atom
uncorrected formation energy = 0.338 eV per atom
DOS(E_F) = 0.26 states/eV per atom
size of the total moment = 0.0 μB/cell

a b c (Å): 4.705 4.705 4.705
angles (deg): 39.73 39.73 39.73
Atoms (fractional coordinates):
Cl 0.000 0.000 0.000
Si 0.500 0.500 0.500

---

Below is a relaxed Rb2NaCdAu2 crystal, with properties calculated at the PBE level.

Computed properties:
density = 5.712 g/cm3
total DFT energy (no corrections) = -2.037 eV per atom
DOS(E_F) = 0.36 states/eV per atom
size of the total moment = 0.0 μB/cell

a b c (Å): 6.973 7.087 9.622
angles (deg): 111.61 111.25 90.00
Atoms (fractional coordinates):
Rb 0.427 0.175 0.349
Rb 0.573 0.825 0.651
Rb 0.078 0.325 0.651
Rb 0.922 0.675 0.349
Na 0.000 0.750 0.000
Na 0.000 0.250 0.000
Cd 0.500 0.750 0.000
Cd 0.500 0.250 0.000
Au 0.841 0.100 0.200
Au 0.359 0.600 0.200
Au 0.641 0.400 0.800
Au 0.159 0.900 0.800

---

Below is a relaxed Rb2SrHCl6 crystal, with properties calculated at the PBE level.

Computed properties:
density = 2.503 g/cm3
total DFT energy (no corrections) = -3.256 eV per atom
DOS(E_F) = 1.08 states/eV per atom
size of the total moment = 1.0 μB/cell

a b c (Å): 8.301 8.301 7.425
angles (deg): 56.01 56.01 90.00
Site moments in Bohr magnetons follow the coordinates.
Atoms (fractional coordinates):
Sr 0.000 0.000 0.000  0.01
H 0.500 0.500 0.000  0.00
Rb 0.750 0.250 0.500  0.00
Rb 0.250 0.750 0.500  0.00
Cl 0.328 0.328 0.343  0.12
Cl 0.672 0.672 0.657  0.12
Cl 0.238 0.238 0.000  0.14
Cl 0.762 0.762 0.000  0.14
Cl 0.762 0.238 0.000  0.12
Cl 0.238 0.762 0.000  0.12

---

Below is a relaxed Mg2FeP crystal, with properties calculated at the PBE level.

Computed properties:
density = 3.569 g/cm3
total DFT energy (no corrections) = -4.170 eV per atom
DOS(E_F) = 0.71 states/eV per atom
size of the total moment = 2.4 μB/cell

a b c (Å): 6.178 4.850 2.874
angles (deg): 89.97 62.50 120.06
Site moments in Bohr magnetons follow the coordinates.
Atoms (fractional coordinates):
Fe 0.500 0.500 0.000  2.47
Mg 0.000 0.000 0.000  -0.02
Mg 0.500 0.000 0.500  -0.02
P 0.000 0.500 0.500  0.02

---

Below is a relaxed AcAg12Te7 crystal, with properties calculated at the PBE level.

Computed properties:
density = 8.324 g/cm3
uncorrected formation energy = -0.111 eV per atom
DOS(E_F) = 0.28 states/eV per atom
size of the total moment = 0.0 μB/cell

a b c (Å): 8.034 8.741 8.741
angles (deg): 68.95 72.16 107.84
Atoms (fractional coordinates):
Ac 0.000 0.000 0.000
Ag 0.965 0.549 0.230
Ag 0.805 0.770 0.779
Ag 0.621 0.355 0.011
Ag 0.368 0.989 0.365
Ag 0.584 0.779 0.451
Ag 0.734 0.365 0.645
Ag 0.266 0.635 0.355
Ag 0.416 0.221 0.549
Ag 0.632 0.011 0.635
Ag 0.379 0.645 0.989
Ag 0.195 0.230 0.221
Ag 0.035 0.451 0.770
Te 0.817 0.206 0.219
Te 0.963 0.781 0.425
Te 0.388 0.425 0.794
Te 0.500 0.000 0.000
Te 0.612 0.575 0.206
Te 0.037 0.219 0.575
Te 0.183 0.794 0.781